[1]
# PmPr2Y2Ho, optimized geometry, DFT PBE-GGA
data_PmPr2Y2Ho
_symmetry_space_group_name_H-M 'P n n m'
_symmetry_Int_Tables_number 58
_cell_length_a 6.690
_cell_length_b 18.193
_cell_length_c 3.417
_cell_angle_alpha 90.00
_cell_angle_beta 90.00
_cell_angle_gamma 90.00
loop_
_symmetry_equiv_pos_as_xyz
'x,y,z'
'-x,-y,-z'
'-x,-y,z'
'x,y,-z'
'x+1/2,-y+1/2,-z+1/2'
'-x+1/2,y+1/2,z+1/2'
'-x+1/2,y+1/2,-z+1/2'
'x+1/2,-y+1/2,z+1/2'
loop_
_atom_site_label
_atom_site_type_symbol
_atom_site_fract_x
_atom_site_fract_y
_atom_site_fract_z
_atom_site_occupancy
Pm1 Pm 0.000 0.000 0.000 1
Pr1 Pr 0.230 0.316 0.000 1
Y1 Y 0.228 0.147 0.500 1
Ho1 Ho 0.000 0.500 0.000 1
# VASP energy in eV/cell: -60.40
# Energy relative to the elements in eV/atom: 0.269

[2]
# Pm6PrY3Ho2, optimized geometry, DFT PBE-GGA
data_Pm6PrY3Ho2
_symmetry_space_group_name_H-M 'C 1 2/m 1'
_symmetry_Int_Tables_number 12
_cell_length_a 6.272
_cell_length_b 10.861
_cell_length_c 11.934
_cell_angle_alpha 90.00
_cell_angle_beta 100.06
_cell_angle_gamma 90.00
loop_
_symmetry_equiv_pos_as_xyz
'x,y,z'
'-x,-y,-z'
'-x,y,-z'
'x,-y,z'
'x+1/2,y+1/2,z'
'-x+1/2,-y+1/2,-z'
'-x+1/2,y+1/2,-z'
'x+1/2,-y+1/2,z'
loop_
_atom_site_label
_atom_site_type_symbol
_atom_site_fract_x
_atom_site_fract_y
_atom_site_fract_z
_atom_site_occupancy
Pm1 Pm 0.249 0.167 0.249 1
Pm2 Pm 0.250 0.000 0.751 1
Pr1 Pr 0.000 0.500 0.500 1
Y1 Y 0.000 0.000 0.000 1
Y2 Y 0.000 0.333 0.000 1
Ho1 Ho 0.000 0.167 0.500 1
# VASP energy in eV/cell: -123.35
# Energy relative to the elements in eV/atom: 0.013

[3]
# PmPrHoZn, optimized geometry, DFT PBE-GGA
data_PmPrHoZn
_symmetry_space_group_name_H-M 'F -4 3 m'
_symmetry_Int_Tables_number 216
_symmetry_space_group_name_Hall 'F -4 2 3'
_cell_length_a 7.703
_cell_length_b 7.703
_cell_length_c 7.703
_cell_angle_alpha 90.00
_cell_angle_beta 90.00
_cell_angle_gamma 90.00
loop_
_atom_site_label
_atom_site_type_symbol
_atom_site_fract_x
_atom_site_fract_y
_atom_site_fract_z
_atom_site_occupancy
Pm1 Pm 0.000 0.000 0.000 1
Pr1 Pr 0.000 0.000 0.500 1
Ho1 Ho 0.250 0.250 0.750 1
Zn1 Zn 0.250 0.250 0.250 1
# VASP energy in eV/cell: -61.09
# Energy relative to the elements in eV/atom: 0.027
# Energy relative to the lowest polymorph listed for this composition in eV/atom: 0.1837

[4]
# PmPrHoZn, optimized geometry, DFT PBE-GGA
data_PmPrHoZn
_symmetry_space_group_name_H-M 'P 4 m m'
_symmetry_Int_Tables_number 99
_cell_length_a 3.631
_cell_length_b 3.631
_cell_length_c 8.788
_cell_angle_alpha 90.00
_cell_angle_beta 90.00
_cell_angle_gamma 90.00
loop_
_symmetry_equiv_pos_as_xyz
'x,y,z'
'-y,x,z'
'-x,-y,z'
'y,-x,z'
'-x,y,z'
'y,x,z'
'x,-y,z'
'-y,-x,z'
loop_
_atom_site_label
_atom_site_type_symbol
_atom_site_fract_x
_atom_site_fract_y
_atom_site_fract_z
_atom_site_occupancy
Pm1 Pm 0.000 0.000 0.000 1
Pr1 Pr 0.500 0.500 0.303 1
Ho1 Ho 0.000 0.000 0.595 1
Zn1 Zn 0.500 0.500 0.784 1
# VASP energy in eV/cell: -16.01
# Energy relative to the elements in eV/atom: -0.156
# Energy relative to the lowest polymorph listed for this composition in eV/atom: 0.0000

[5]
# Pm2HoPt2, optimized geometry, DFT PBE-GGA
data_Pm2HoPt2
_symmetry_space_group_name_H-M 'P 4/m b m'
_symmetry_Int_Tables_number 127
_symmetry_space_group_name_Hall '-P 4 2ab'
_cell_length_a 7.817
_cell_length_b 7.817
_cell_length_c 4.088
_cell_angle_alpha 90.00
_cell_angle_beta 90.00
_cell_angle_gamma 90.00
loop_
_atom_site_label
_atom_site_type_symbol
_atom_site_fract_x
_atom_site_fract_y
_atom_site_fract_z
_atom_site_occupancy
Pm1 Pm 0.163 0.337 0.000 1
Ho1 Ho 0.000 0.000 0.500 1
Pt1 Pt 0.139 0.639 0.500 1
# VASP energy in eV/cell: -62.27
# Energy relative to the elements in eV/atom: -0.995
# Energy relative to the lowest polymorph listed for this composition in eV/atom: 0.0000

[6]
# Pm2HoPt, optimized geometry, DFT PBE-GGA
data_Pm2HoPt
_symmetry_space_group_name_H-M 'P 4/m m m'
_symmetry_Int_Tables_number 123
_symmetry_space_group_name_Hall '-P 4 2'
_cell_length_a 3.663
_cell_length_b 3.663
_cell_length_c 8.463
_cell_angle_alpha 90.00
_cell_angle_beta 90.00
_cell_angle_gamma 90.00
loop_
_atom_site_label
_atom_site_type_symbol
_atom_site_fract_x
_atom_site_fract_y
_atom_site_fract_z
_atom_site_occupancy
Pm1 Pm 0.000 0.000 0.199 1
Ho1 Ho 0.500 0.500 0.500 1
Pt1 Pt 0.500 0.500 0.000 1
# VASP energy in eV/cell: -22.08
# Energy relative to the elements in eV/atom: -0.491
# Energy relative to the lowest polymorph listed for this composition in eV/atom: 0.1722

> energy relative to the elements of number 4 (PmPrHoZn)?

-0.156 eV/atom